(1)
First-principles (PBE) data for BaZn3Ge after structural relaxation, as listed in the Alexandria database.

Lattice parameters (Å, degrees): 4.531 4.596 22.007 90.00 90.00 90.00
Space group Imma (No. 74)
Asymmetric unit:
1 Ba 0.000 0.250 0.154 (multiplicity 4)
2 Zn 0.000 0.250 0.461 (multiplicity 4)
3 Zn 0.000 0.250 0.723 (multiplicity 4)
4 Zn 0.000 0.250 0.969 (multiplicity 4)
5 Ge 0.000 0.250 0.598 (multiplicity 4)

Output
magnetization	0.0	Bohr magnetons per cell
polymorph energy (0 for the lowest one)	0.000	eV/atom
calculated volume	458.3	Å³ per cell
calculated formation energy	-0.23	eV per atom



(2)
First-principles (PBE) data for BaZnGe after structural relaxation, as listed in the Alexandria database.

Lattice parameters (Å, degrees): 11.126 4.935 7.843 90.00 133.18 90.00
Space group C2/m (No. 12)
Asymmetric unit:
1 Ba 0.249 0.000 0.198 (multiplicity 4)
2 Zn 0.074 0.500 0.234 (multiplicity 4)
3 Ge 0.067 0.000 0.412 (multiplicity 4)

Output
magnetization	0.0	Bohr magnetons per cell
calculated volume	314.0	Å³ per cell
calculated formation energy	-0.37	eV per atom